## Pr2Dy2Tl (PBE)

Data for a relaxed Pr2Dy2Tl crystal.

Summary:
**Energy above the most stable polymorph in this dataset**: 73 meV/atom
**DFT formation energy**: 0.00 eV/atom
**DOS at the Fermi energy**: 1.698 states/eV/atom

Cell: 5.518 5.518 12.293 Å, 90.00 90.00 120.00°
Atoms (fractional coordinates):
Pr (0.333, 0.667, 0.586)
Pr (0.667, 0.333, 0.086)
Pr (0.667, 0.333, 0.414)
Pr (0.333, 0.667, 0.914)
Dy (0.667, 0.333, 0.750)
Dy (0.000, 0.000, 0.000)
Dy (0.000, 0.000, 0.500)
Dy (0.333, 0.667, 0.250)
Tl (0.000, 0.000, 0.250)
Tl (0.000, 0.000, 0.750)

## PrDy7Tl5 (PBE)

Data for a relaxed PrDy7Tl5 crystal.

Summary:
**DFT formation energy**: -0.16 eV/atom
**DOS at the Fermi energy**: 1.211 states/eV/atom

Cell: 6.525 8.350 8.350 Å, 80.76 67.00 67.00°
Atoms (fractional coordinates):
Pr (0.989, 0.011, 0.011)
Dy (0.641, 0.359, 0.359)
Dy (0.328, 0.672, 0.672)
Dy (0.996, 0.345, 0.663)
Dy (0.996, 0.663, 0.345)
Dy (0.270, 0.230, 0.230)
Dy (0.512, 0.792, 0.184)
Dy (0.512, 0.184, 0.792)
Tl (0.504, 0.004, 0.486)
Tl (0.006, 0.004, 0.486)
Tl (0.504, 0.486, 0.004)
Tl (0.006, 0.486, 0.004)
Tl (0.735, 0.765, 0.765)

## Pr2Dy3Tl3 (PBE)

Data for a relaxed Pr2Dy3Tl3 crystal.

Summary:
**DFT formation energy**: -0.25 eV/atom
**DOS at the Fermi energy**: 0.925 states/eV/atom

Cell: 4.540 4.966 10.884 Å, 103.19 102.04 90.00°
Atoms (fractional coordinates):
Pr (0.740, 0.240, 0.480)
Pr (0.260, 0.760, 0.520)
Dy (0.616, 0.616, 0.232)
Dy (0.384, 0.384, 0.768)
Dy (0.500, 0.000, 0.000)
Tl (0.123, 0.123, 0.246)
Tl (0.000, 0.500, 0.000)
Tl (0.877, 0.877, 0.754)

| no. | size of the total moment (Bohr magnetons per cell) |
| --- | --- |
| 1 | 0.00 |
| 2 | 0.08 |
| 3 | 0.00 |